[1]
Zn2Te3O8 PBEsol optimized geometry; SG = C2/c, No. 15; N(E_F) = 0.0 states/eV/f.u.; crystal system = monoclinic
1.0
-3.375 -1.312 3.743
6.425 -1.446 1.662
-0.305 11.107 3.619
O Te Zn
16 6 4
Cartesian
-2.105 5.453 6.424 O
-0.306 0.465 4.360 O
0.439 3.539 5.131 O
0.930 3.734 1.590 O
2.579 -0.697 1.951 O
0.258 9.085 3.976 O
0.334 6.327 5.291 O
2.412 2.022 3.734 O
0.167 9.046 7.073 O
1.815 4.615 7.435 O
4.851 2.896 2.601 O
2.102 7.440 7.291 O
2.306 4.810 3.894 O
0.644 0.909 1.734 O
2.488 -0.737 5.049 O
3.052 7.883 4.664 O
-3.103 7.213 5.902 Te
-0.577 2.582 1.460 Te
4.184 9.401 4.901 Te
2.318 3.063 5.330 Te
-1.438 -1.053 4.124 Te
0.428 5.286 3.694 Te
1.201 8.131 5.469 Zn
1.545 0.217 3.555 Zn
2.784 3.134 2.072 Zn
-0.038 5.215 6.952 Zn

=====

[2]
Zn3TeO6 PBEsol optimized geometry; SG = C2/c, No. 15; crystal system = monoclinic
1.0
-7.355 -4.554 0.539
-0.396 -6.554 5.658
-3.762 6.090 7.495
O Zn Te
36 18 6
Cartesian
-8.826 -3.456 10.961 O
-6.551 -2.127 10.495 O
-4.507 0.309 11.395 O
-4.573 -0.179 3.824 O
-6.940 -4.840 9.868 O
-7.007 -5.327 2.297 O
-2.582 -2.836 7.593 O
-8.932 -2.182 6.099 O
-6.862 -4.542 5.135 O
-4.696 -5.937 4.089 O
-6.600 -2.885 7.820 O
-4.963 -2.891 3.197 O
-6.764 0.236 6.853 O
-7.228 -6.419 7.005 O
-1.680 1.237 3.119 O
-3.880 4.373 6.633 O
-8.837 -1.575 8.964 O
-4.750 -5.254 6.839 O
-2.348 -6.579 5.811 O
-4.914 -2.133 5.872 O
-8.946 -4.107 8.166 O
-9.166 1.561 7.881 O
-7.165 -7.279 4.572 O
-4.652 -0.477 8.557 O
-2.677 -3.443 4.728 O
-4.286 1.401 6.687 O
-7.289 -1.395 4.217 O
-9.834 -6.255 10.573 O
-6.818 0.919 9.603 O
-4.225 -3.623 9.475 O
-4.349 2.261 9.120 O
-2.568 -0.911 5.526 O
-2.688 -1.563 2.731 O
-6.615 2.757 7.680 O
-7.634 -9.391 7.060 O
-4.899 -7.775 6.012 O
-6.809 -6.528 8.842 Zn
-10.253 -1.828 7.667 Zn
-0.888 -2.092 2.526 Zn
-4.471 -2.933 1.323 Zn
-10.626 -2.926 11.166 Zn
-1.261 -3.190 6.025 Zn
-6.905 -3.431 3.436 Zn
-8.432 -4.190 6.216 Zn
-8.177 1.302 6.069 Zn
-3.082 -0.829 7.476 Zn
-4.609 -1.587 10.256 Zn
-4.710 -3.406 7.395 Zn
-2.818 -5.262 4.098 Zn
-7.042 -2.085 12.369 Zn
-4.705 1.510 4.850 Zn
-8.696 0.244 9.595 Zn
-6.804 -1.612 6.297 Zn
-3.337 -6.321 7.623 Zn
-1.881 3.045 3.748 Te
0.000 0.000 0.000 Te
-3.761 -1.877 4.349 Te
-5.900 -6.178 5.575 Te
-7.753 -3.141 9.343 Te
-5.614 1.160 8.117 Te

=====

[3]
ZnTe6O13 PBEsol optimized geometry; SG = R-3, No. 148; N(E_F) = 0.0 states/eV/f.u.; crystal system = trigonal
1.0
-1.938 -7.775 -3.064
-3.164 -4.690 6.449
-8.514 -0.439 -0.955
O Zn Te
26 2 12
Cartesian
-5.194 -5.924 2.548 O
-8.306 -6.560 2.767 O
-11.856 -9.306 3.050 O
-5.310 -6.344 -0.336 O
-10.633 -7.599 1.588 O
-1.761 -3.597 -0.619 O
-2.895 -7.633 -0.548 O
-4.944 -3.552 -0.833 O
-2.984 -5.305 0.842 O
-8.673 -9.352 3.264 O
-8.858 -9.738 0.175 O
-2.286 -2.510 2.214 O
-8.441 -8.668 -2.283 O
-9.799 -11.558 2.621 O
-4.759 -3.166 2.255 O
-11.331 -10.394 0.217 O
-3.818 -1.346 -0.191 O
-1.160 -1.099 0.207 O
-5.176 -4.235 4.714 O
-6.614 -8.581 1.518 O
-12.456 -11.804 2.224 O
-10.721 -5.271 2.978 O
-8.423 -6.980 -0.118 O
-7.003 -4.323 0.913 O
-6.095 -9.996 3.813 O
-7.522 -2.908 -1.382 O
-10.133 -9.602 1.809 Zn
-3.484 -3.301 0.622 Zn
-9.885 -5.934 -2.541 Te
-7.406 -8.634 -0.361 Te
-3.731 -6.969 4.972 Te
-6.210 -4.270 2.792 Te
-4.696 -7.466 -3.069 Te
-4.598 -10.806 1.219 Te
-9.537 -6.068 1.327 Te
-4.080 -6.836 1.103 Te
-9.019 -2.098 1.211 Te
-8.921 -5.438 5.499 Te
-6.428 -4.737 -0.911 Te
-7.189 -8.166 3.341 Te

=====

[4]
ZnTe2O5 PBEsol optimized geometry; excess energy over the best structure of this formula in the dataset = 0.0 kJ/mol of atoms; SG = Pnma, No. 62; N(E_F) = 0.0 states/eV/f.u.; crystal system = orthorhombic
1.0
8.205 0.000 0.000
0.000 9.131 0.000
0.000 0.000 12.146
O Zn Te
40 8 16
Cartesian
2.697 8.145 9.110 O
5.619 7.659 4.510 O
5.303 7.383 7.544 O
1.201 6.313 4.603 O
7.515 0.082 10.630 O
1.517 6.038 7.637 O
2.901 1.748 4.603 O
5.619 7.659 1.563 O
2.901 1.748 1.470 O
7.215 5.633 6.201 O
1.201 6.313 1.470 O
1.124 4.239 3.037 O
0.689 9.049 4.557 O
0.990 3.498 5.946 O
5.092 1.068 6.201 O
3.113 8.063 0.127 O
1.405 3.580 9.110 O
0.990 3.498 0.127 O
0.689 9.049 1.516 O
7.004 2.817 10.676 O
5.508 0.986 3.037 O
1.517 6.038 10.583 O
2.979 8.804 3.037 O
3.413 4.484 4.557 O
3.413 4.484 1.516 O
5.303 7.383 10.676 O
4.792 4.647 7.589 O
7.004 2.817 7.544 O
3.113 8.063 5.946 O
7.515 0.082 7.589 O
7.215 5.633 12.019 O
6.688 3.093 4.510 O
6.799 5.551 3.037 O
6.688 3.093 1.563 O
5.226 0.327 9.110 O
7.081 4.892 9.110 O
2.585 1.472 10.583 O
5.092 1.068 12.019 O
2.585 1.472 7.637 O
4.792 4.647 10.630 O
8.024 4.632 1.505 Zn
4.283 0.066 1.505 Zn
0.181 4.499 10.641 Zn
0.181 4.499 7.578 Zn
8.024 4.632 4.568 Zn
3.921 9.065 10.641 Zn
4.283 0.066 4.568 Zn
3.921 9.065 7.578 Zn
1.385 1.666 9.110 Te
2.718 6.231 9.110 Te
6.820 7.465 3.037 Te
5.343 5.988 11.979 Te
5.487 2.900 3.037 Te
2.531 5.526 3.037 Te
1.571 0.961 3.037 Te
6.634 8.170 9.110 Te
5.343 5.988 6.241 Te
6.964 1.422 6.241 Te
2.861 3.143 5.906 Te
5.674 3.605 9.110 Te
1.241 7.709 5.906 Te
2.861 3.143 0.167 Te
1.241 7.709 0.167 Te
6.964 1.422 11.979 Te

=====

[5]
ZnTeO2 PBEsol optimized geometry; SG = I-42d, No. 122; N(E_F) = 1.0 states/eV/f.u.; crystal system = tetragonal
1.0
-1.383 -4.509 2.480
5.433 1.071 -0.749
2.914 1.430 4.226
Zn O Te
2 4 2
Cartesian
3.099 -0.234 1.302 Zn
0.766 -1.539 3.353 Zn
1.788 -2.873 4.359 O
4.390 -1.197 2.418 O
6.365 1.209 3.601 O
1.386 -1.155 1.535 O
0.000 0.000 0.000 Te
3.865 -1.774 4.655 Te

=====

[6]
ZnTe2O5 PBEsol optimized geometry; excess energy over the best structure of this formula in the dataset = 0.2 kJ/mol of atoms; SG = P4_2/nbc, No. 133; N(E_F) = 0.0 states/eV/f.u.; crystal system = tetragonal
1.0
-3.465 -6.741 -4.121
7.261 -4.491 1.242
-4.606 -4.390 11.054
O Te Zn
40 16 8
Cartesian
0.398 -2.924 -0.995 O
2.786 -5.268 2.034 O
2.889 -9.774 0.287 O
-1.444 -6.734 9.701 O
-3.281 -7.797 2.894 O
-0.007 -10.735 3.092 O
-0.846 -7.733 -0.459 O
0.826 -6.230 6.968 O
0.890 -9.644 -1.721 O
-0.283 -11.146 7.207 O
1.229 -7.639 9.230 O
4.385 -4.477 0.049 O
-3.567 -5.467 5.440 O
0.502 -9.270 0.921 O
2.501 -9.399 2.929 O
-0.932 -12.288 5.055 O
1.424 -10.463 9.416 O
-2.724 -10.431 3.820 O
-0.949 -3.227 1.288 O
3.398 -8.309 -1.884 O
1.021 -9.054 7.153 O
0.544 -4.584 2.800 O
-2.358 -9.544 0.846 O
-5.752 -8.512 7.200 O
-4.789 -10.605 5.544 O
-0.588 -6.756 -2.928 O
-3.687 -8.338 5.476 O
1.668 -11.193 5.347 O
-3.024 -6.819 0.425 O
4.220 -7.262 0.613 O
-2.223 -5.186 2.633 O
1.818 -2.626 1.454 O
-1.512 -5.008 -0.880 O
-0.803 -4.888 5.083 O
-1.734 -5.104 7.574 O
2.471 -7.826 5.280 O
4.070 -7.034 3.296 O
-3.277 -7.098 7.567 O
-2.883 -12.241 6.915 O
2.636 -5.041 4.716 O
4.615 -5.701 1.638 Te
0.061 -9.160 9.125 Te
1.547 -10.614 1.808 Te
-1.118 -3.828 3.393 Te
-4.238 -9.271 3.890 Te
-1.103 -12.882 7.162 Te
2.189 -7.533 7.258 Te
0.713 -3.984 0.694 Te
-4.238 -9.673 7.130 Te
-1.812 -7.841 1.510 Te
1.844 -8.430 -0.600 Te
-2.058 -6.712 -1.544 Te
2.241 -6.601 3.691 Te
-3.074 -5.950 9.093 Te
-1.937 -6.252 6.048 Te
-0.112 -10.552 5.100 Te
-2.884 -4.468 0.703 Zn
2.479 -3.343 3.384 Zn
1.327 -4.441 6.148 Zn
-5.187 -6.663 6.230 Zn
-1.732 -3.371 -2.061 Zn
-4.036 -5.566 3.466 Zn
0.176 -5.538 8.911 Zn
3.630 -2.246 0.621 Zn

=====

[7]
ZrTe3O8 PBEsol optimized geometry; SG = Ia-3, No. 206; N(E_F) = 0.0 states/eV/f.u.; crystal system = cubic
1.0
9.711 0.000 0.000
-3.237 9.156 0.000
-3.237 -4.578 7.929
O Zr Te
32 4 12
Cartesian
0.994 0.863 5.338 O
-0.529 -0.747 6.634 O
2.243 3.715 2.591 O
1.586 0.000 0.000 O
0.529 5.372 3.965 O
-2.708 3.036 2.670 O
8.125 0.000 0.000 O
-2.854 0.046 7.381 O
3.719 -0.658 1.608 O
2.755 7.434 0.234 O
5.480 4.964 3.417 O
4.231 -0.477 6.007 O
1.860 3.579 5.573 O
0.383 -1.837 4.278 O
6.091 4.532 0.548 O
3.620 1.792 4.199 O
2.708 -0.794 3.965 O
-3.766 1.541 5.259 O
8.334 2.540 0.313 O
0.482 -2.856 7.695 O
-1.860 -3.036 5.886 O
5.992 1.064 1.374 O
3.766 5.325 1.295 O
1.377 0.998 2.356 O
-2.755 3.514 6.555 O
-5.097 2.038 7.616 O
-0.482 5.236 6.321 O
-0.383 2.786 3.730 O
-0.994 5.055 1.922 O
5.097 7.614 2.043 O
2.854 6.415 3.651 O
-2.243 -0.386 4.512 O
4.856 0.000 0.000 Zr
-1.619 -2.289 3.965 Zr
1.619 2.289 3.965 Zr
-1.619 4.578 0.000 Zr
1.866 -0.795 1.982 Te
-1.866 0.795 5.947 Te
-1.371 -2.464 7.626 Te
-1.371 4.403 3.661 Te
4.608 0.175 4.268 Te
4.608 7.042 0.303 Te
1.371 -0.969 5.644 Te
5.103 3.783 1.982 Te
1.371 5.372 5.947 Te
7.845 1.319 1.679 Te
-4.608 3.258 6.250 Te
1.866 5.547 2.285 Te

=====

[8]
Zr2TeO PBEsol optimized geometry; SG = Fm-3m, No. 225; N(E_F) = 2.6 states/eV/f.u.; crystal system = cubic
1.0
-2.755 2.991 -2.218
-0.439 -0.233 -4.606
-3.974 -1.465 -1.877
O Zr Te
1 2 1
Cartesian
0.000 0.000 0.000 O
-1.792 0.323 -2.175 Zr
-5.376 0.970 -6.526 Zr
-3.584 0.647 -4.351 Te

=====

[9]
ThTi2O6 PBEsol optimized geometry; SG = C2/m, No. 12; N(E_F) = 0.0 states/eV/f.u.; crystal system = monoclinic
1.0
3.814 0.000 0.000
1.907 4.936 -0.019
1.907 1.472 6.085
O Ti Th
6 2 1
Cartesian
1.907 1.163 0.636 O
5.721 5.246 5.430 O
3.814 5.081 3.625 O
1.907 3.616 1.879 O
3.814 1.328 2.441 O
5.721 2.793 4.187 O
5.721 4.581 3.680 Ti
1.907 1.828 2.386 Ti
0.000 0.000 0.000 Th

=====

[10]
Ti2O3 PBEsol optimized geometry; SG = Pnma, No. 62; N(E_F) = 0.2 states/eV/f.u.; crystal system = orthorhombic
1.0
-1.789 0.854 -2.008
-5.723 0.392 5.266
1.944 7.697 1.541
Ti O
8 12
Cartesian
-0.003 2.651 0.138 Ti
-3.117 1.844 2.571 Ti
-5.565 6.292 4.661 Ti
-5.905 1.095 2.753 Ti
-2.142 4.468 0.835 Ti
0.337 7.848 2.045 Ti
-3.426 4.474 3.964 Ti
-2.450 7.099 2.228 Ti
-1.427 1.621 -1.013 O
-0.065 4.513 0.986 O
-5.503 4.429 3.813 O
-4.140 7.322 5.812 O
-3.800 3.749 2.007 O
-0.958 6.946 0.833 O
-2.158 7.750 4.228 O
-1.767 5.194 2.792 O
-3.409 1.193 0.571 O
-4.047 6.239 3.286 O
-1.520 2.704 1.513 O
-4.610 1.997 3.966 O

=====

[11]
Ti3O2 PBEsol optimized geometry; SG = R-3c, No. 167; N(E_F) = 1.9 states/eV/f.u.; crystal system = trigonal
1.0
-4.999 0.605 0.545
-2.962 -4.022 0.834
-2.057 -0.573 5.304
Ti O
6 4
Cartesian
-3.880 -0.495 4.273 Ti
-5.856 -0.592 2.036 Ti
-4.162 -3.399 4.647 Ti
-6.537 -1.668 4.737 Ti
-6.137 -3.495 2.409 Ti
-3.480 -2.323 1.946 Ti
-4.718 -1.720 5.700 O
-2.347 -0.849 2.945 O
-7.670 -3.142 3.737 O
-5.299 -2.271 0.983 O

=====

Number 1: formation energy without anion corrections -15.4 eV/f.u.. Number 2: formation energy without anion corrections -13.1 eV/f.u.. Number 3: formation energy without anion corrections -21.7 eV/f.u.. Number 4: formation energy without anion corrections -9.1 eV/f.u.. Number 5: formation energy without anion corrections -2.5 eV/f.u.. Number 6: formation energy without anion corrections -9.1 eV/f.u.. Number 7: formation energy without anion corrections -19.9 eV/f.u.. Number 8: formation energy without anion corrections -3.4 eV/f.u.. Number 9: formation energy without anion corrections -30.1 eV/f.u.. Number 10: formation energy without anion corrections -14.8 eV/f.u.. Number 11: formation energy without anion corrections -10.9 eV/f.u..